{"formula": "HgSbO4", "functional": "PBE-GGA", "state": "optimized geometry", "cell": [[6.165, -2.576, 0.000], [6.165, 2.576, 0.000], [-0.307, 0.000, 5.589]], "species": ["Hg", "Hg", "Sb", "Sb", "O", "O", "O", "O", "O", "O", "O", "O"], "frac_coords": [[0.210, 0.790, 0.750], [0.790, 0.210, 0.250], [0.000, 0.500, 0.000], [0.500, 0.000, 0.500], [0.098, 0.721, 0.050], [0.203, 0.361, 0.687], [0.279, 0.902, 0.450], [0.361, 0.203, 0.187], [0.639, 0.797, 0.813], [0.721, 0.098, 0.550], [0.797, 0.639, 0.313], [0.902, 0.279, 0.950]], "polymorph_energy_ev_per_atom": 0.017, "formation_energy_uncorrected_ev_per_atom": -0.704, "dft_energy_ev_per_cell": -57.0}

---

{"formula": "Hg2Sb2O7", "functional": "PBE-GGA", "state": "optimized geometry", "cell": [[2.732, -4.665, 0.000], [2.732, 4.665, 0.000], [-1.794, 0.000, 9.151]], "species": ["Hg", "Hg", "Sb", "Sb", "O", "O", "O", "O", "O", "O", "O"], "frac_coords": [[0.250, 0.250, 0.182], [0.750, 0.750, 0.818], [0.324, 0.676, 0.500], [0.676, 0.324, 0.500], [0.000, 0.000, 0.000], [0.032, 0.655, 0.623], [0.345, 0.968, 0.377], [0.455, 0.455, 0.632], [0.545, 0.545, 0.368], [0.655, 0.032, 0.623], [0.968, 0.345, 0.377]], "polymorph_energy_ev_per_atom": 0.149, "formation_energy_uncorrected_ev_per_atom": -0.875, "dft_energy_ev_per_cell": -53.2}

---

{"formula": "Hg2SbO", "functional": "PBE-GGA", "state": "optimized geometry", "cell": [[0.000, 3.462, 3.462], [3.462, 0.000, 3.462], [3.462, 3.462, 0.000]], "species": ["Hg", "Hg", "Sb", "O"], "frac_coords": [[0.250, 0.250, 0.250], [0.750, 0.750, 0.750], [0.000, 0.000, 0.000], [0.500, 0.500, 0.500]], "polymorph_energy_ev_per_atom": 0.394, "formation_energy_uncorrected_ev_per_atom": 0.459, "dft_energy_ev_per_cell": -7.8}

---

{"formula": "Hg3SbO6", "functional": "PBE-GGA", "state": "optimized geometry", "cell": [[2.902, 1.675, 5.009], [-2.902, 1.675, 5.009], [0.000, -3.351, 5.009]], "species": ["Hg", "Hg", "Hg", "Sb", "O", "O", "O", "O", "O", "O"], "frac_coords": [[0.000, 0.000, 0.000], [0.225, 0.225, 0.225], [0.472, 0.472, 0.472], [0.694, 0.694, 0.694], [0.040, 0.448, 0.802], [0.331, 0.877, 0.613], [0.448, 0.802, 0.040], [0.613, 0.331, 0.877], [0.802, 0.040, 0.448], [0.877, 0.613, 0.331]], "formation_energy_uncorrected_ev_per_atom": -0.543, "dft_energy_ev_per_cell": -40.2}

---

{"formula": "HgSbO4", "functional": "PBE-GGA", "state": "optimized geometry", "cell": [[5.831, 0.000, 0.000], [0.000, 4.776, 0.000], [0.000, 0.000, 5.726]], "species": ["Hg", "Hg", "Sb", "Sb", "O", "O", "O", "O", "O", "O", "O", "O"], "frac_coords": [[0.000, 0.000, 0.000], [0.000, 0.500, 0.500], [0.500, 0.000, 0.313], [0.500, 0.500, 0.813], [0.197, 0.207, 0.275], [0.197, 0.293, 0.775], [0.366, 0.749, 0.558], [0.366, 0.751, 0.058], [0.634, 0.249, 0.058], [0.634, 0.251, 0.558], [0.803, 0.707, 0.775], [0.803, 0.793, 0.275]], "polymorph_energy_ev_per_atom": 0.000, "formation_energy_uncorrected_ev_per_atom": -0.721, "dft_energy_ev_per_cell": -57.2}

---

{"formula": "HgSb3O", "functional": "PBE-GGA", "state": "optimized geometry", "cell": [[4.869, 0.000, 0.000], [0.000, 4.869, 0.000], [0.000, 0.000, 4.869]], "species": ["Hg", "Sb", "Sb", "Sb", "O"], "frac_coords": [[0.000, 0.000, 0.000], [0.000, 0.500, 0.500], [0.500, 0.000, 0.500], [0.500, 0.500, 0.000], [0.500, 0.500, 0.500]], "polymorph_energy_ev_per_atom": 0.000, "formation_energy_uncorrected_ev_per_atom": 0.096, "dft_energy_ev_per_cell": -17.1}

---

{"formula": "Hg2SbO4", "functional": "PBE-GGA", "state": "optimized geometry", "cell": [[6.490, -1.593, 0.000], [6.490, 1.593, 0.000], [-1.416, 0.000, 4.989]], "species": ["Hg", "Hg", "Sb", "O", "O", "O", "O"], "frac_coords": [[0.195, 0.195, 0.165], [0.805, 0.805, 0.835], [0.500, 0.500, 0.500], [0.046, 0.046, 0.759], [0.354, 0.354, 0.563], [0.646, 0.646, 0.437], [0.954, 0.954, 0.241]], "polymorph_energy_ev_per_atom": 0.000, "formation_energy_uncorrected_ev_per_atom": -0.750, "dft_energy_ev_per_cell": -29.8}

---

{"formula": "Hg2SbO4", "functional": "PBE-GGA", "state": "optimized geometry", "cell": [[-1.991, 1.991, 6.448], [1.991, -1.991, 6.448], [1.991, 1.991, -6.448]], "species": ["Hg", "Hg", "Sb", "O", "O", "O", "O"], "frac_coords": [[0.159, 0.159, 0.000], [0.841, 0.841, 0.000], [0.500, 0.500, 0.000], [0.000, 0.500, 0.500], [0.343, 0.343, 0.000], [0.500, 0.000, 0.500], [0.657, 0.657, 0.000]], "polymorph_energy_ev_per_atom": 0.214, "formation_energy_uncorrected_ev_per_atom": -0.537, "dft_energy_ev_per_cell": -28.3}

---

{"formula": "HgSb3O", "functional": "PBE-GGA", "state": "optimized geometry", "cell": [[5.540, 0.000, 0.000], [0.000, 5.540, 0.000], [0.000, 0.000, 5.540]], "species": ["Hg", "Sb", "Sb", "Sb", "O"], "frac_coords": [[0.000, 0.000, 0.000], [0.000, 0.000, 0.500], [0.000, 0.500, 0.000], [0.500, 0.000, 0.000], [0.500, 0.500, 0.500]], "polymorph_energy_ev_per_atom": 1.233, "formation_energy_uncorrected_ev_per_atom": 1.329, "dft_energy_ev_per_cell": -11.0}

---

{"formula": "Hg2Sb2O7", "functional": "PBE-GGA", "state": "optimized geometry", "cell": [[0.000, 5.274, 5.274], [5.274, 0.000, 5.274], [5.274, 5.274, 0.000]], "species": ["Hg", "Hg", "Hg", "Hg", "Sb", "Sb", "Sb", "Sb", "O", "O", "O", "O", "O", "O", "O", "O", "O", "O", "O", "O", "O", "O"], "frac_coords": [[0.000, 0.000, 0.000], [0.000, 0.000, 0.500], [0.000, 0.500, 0.000], [0.500, 0.000, 0.000], [0.000, 0.500, 0.500], [0.500, 0.000, 0.500], [0.500, 0.500, 0.000], [0.500, 0.500, 0.500], [0.125, 0.125, 0.125], [0.179, 0.179, 0.571], [0.179, 0.571, 0.179], [0.179, 0.571, 0.571], [0.429, 0.429, 0.821], [0.429, 0.821, 0.429], [0.429, 0.821, 0.821], [0.571, 0.179, 0.179], [0.571, 0.179, 0.571], [0.571, 0.571, 0.179], [0.821, 0.429, 0.429], [0.821, 0.429, 0.821], [0.821, 0.821, 0.429], [0.875, 0.875, 0.875]], "polymorph_energy_ev_per_atom": 0.000, "formation_energy_uncorrected_ev_per_atom": -1.024, "dft_energy_ev_per_cell": -109.6}

---

{"formula": "Hg4SbO6", "functional": "PBE-GGA", "state": "optimized geometry", "cell": [[6.076, 0.000, 0.000], [2.890, 5.358, 0.000], [1.092, -0.527, 6.045]], "species": ["Hg", "Hg", "Hg", "Hg", "Sb", "O", "O", "O", "O", "O", "O"], "frac_coords": [[0.145, 0.157, 0.481], [0.343, 0.334, 0.963], [0.657, 0.666, 0.037], [0.855, 0.843, 0.519], [0.000, 0.000, 0.000], [0.011, 0.282, 0.186], [0.257, 0.734, 0.153], [0.285, 0.011, 0.768], [0.715, 0.989, 0.232], [0.743, 0.266, 0.847], [0.989, 0.718, 0.814]], "polymorph_energy_ev_per_atom": 0.000, "formation_energy_uncorrected_ev_per_atom": -0.586, "dft_energy_ev_per_cell": -41.5}

---

{"formula": "Sc4HgSbO", "functional": "PBE-GGA", "state": "optimized geometry", "cell": [[3.056, -7.533, 0.000], [3.056, 7.533, 0.000], [0.000, 0.000, 6.102]], "species": ["Sc", "Sc", "Sc", "Sc", "Sc", "Sc", "Sc", "Sc", "Hg", "Hg", "Sb", "Sb", "O", "O"], "frac_coords": [[0.000, 0.500, 0.000], [0.000, 0.500, 0.500], [0.080, 0.920, 0.750], [0.411, 0.589, 0.750], [0.500, 0.000, 0.000], [0.500, 0.000, 0.500], [0.589, 0.411, 0.250], [0.920, 0.080, 0.250], [0.112, 0.888, 0.250], [0.888, 0.112, 0.750], [0.394, 0.606, 0.250], [0.606, 0.394, 0.750], [0.249, 0.751, 0.750], [0.751, 0.249, 0.250]], "formation_energy_uncorrected_ev_per_atom": -1.269, "dft_energy_ev_per_cell": -87.2}

---

Repeat the ninth record exactly.
{"formula": "HgSb3O", "functional": "PBE-GGA", "state": "optimized geometry", "cell": [[5.540, 0.000, 0.000], [0.000, 5.540, 0.000], [0.000, 0.000, 5.540]], "species": ["Hg", "Sb", "Sb", "Sb", "O"], "frac_coords": [[0.000, 0.000, 0.000], [0.000, 0.000, 0.500], [0.000, 0.500, 0.000], [0.500, 0.000, 0.000], [0.500, 0.500, 0.500]], "polymorph_energy_ev_per_atom": 1.233, "formation_energy_uncorrected_ev_per_atom": 1.329, "dft_energy_ev_per_cell": -11.0}